[1]
VASP calculation (PBE) on crystalline GaP2SeS at its relaxed geometry.

Properties
Mass density = 3.910 g cm⁻³
Space-group type = P4/mmm (123)
Energy relative to the elements, uncorrected = 86.3 kJ per mole of atoms
Distance to the lowest polymorph of the same formula = 0.000 eV per formula unit

Unit cell a=4.7826 b=4.7826 c=4.5058 alpha=90.00 beta=90.00 gamma=90.00
Last column: nearest neighbours and their distance in Å.
Fractional positions:
S  0.0000  0.0000  0.5000  2 Ga 2.25
Se  0.5000  0.5000  0.5000  8 P 3.29, 4 S 3.38
P  0.5000  0.0000  0.0000  2 Ga 2.39
P  0.0000  0.5000  0.0000  2 Ga 2.39
Ga  0.0000  0.0000  0.0000  2 S 2.25, 4 P 2.39

[2]
VASP calculation (PBE) on crystalline CsRbGeS at its relaxed geometry.

Properties
Mass density = 3.538 g cm⁻³
Space-group type = Amm2 (38)
Energy relative to the elements, uncorrected = -41.0 kJ per mole of atoms
Distance to the lowest polymorph of the same formula = 0.181 eV per formula unit

Unit cell a=4.3712 b=5.3715 c=12.9157 alpha=90.00 beta=90.00 gamma=90.00
Last column: nearest neighbours and their distance in Å.
Fractional positions:
S  0.0000  0.0000  0.2182  2 Ge 2.53
S  0.0000  0.5000  0.7182  2 Ge 2.53
Cs  0.5000  0.5000  0.3120  3 Ge 3.66-3.97, 4 S 3.67
Cs  0.5000  0.0000  0.8120  3 Ge 3.66-3.97, 4 S 3.67
Ge  0.5000  0.0000  0.1195  2 S 2.53
Ge  0.5000  0.5000  0.6195  2 S 2.53
Rb  0.0000  0.5000  0.0358  2 S 3.57, 4 Ge 3.63
Rb  0.0000  0.0000  0.5358  2 S 3.57, 4 Ge 3.63

[3]
VASP calculation (PBE) on crystalline ThAl4Ag8 at its relaxed geometry.

Properties
Mass density = 8.394 g cm⁻³
Space-group type = I4/mmm (139)
Energy of formation = -16 kJ/mol of atoms

Unit cell a=5.4019 b=7.1657 c=7.1657 alpha=81.83 beta=67.86 gamma=67.86
Last column: nearest neighbours and their distance in Å.
Fractional positions:
Th  0.0000  0.0000  0.0000  12 Ag 3.23-3.38, 8 Al 3.58
Al  0.0000  0.0000  0.5000  2 Al 2.70, 8 Ag 2.72-2.85
Al  0.0000  0.5000  0.0000  2 Al 2.70, 8 Ag 2.72-2.85
Al  0.5000  0.0000  0.5000  2 Al 2.70, 8 Ag 2.72-2.85
Al  0.5000  0.5000  0.0000  2 Al 2.70, 8 Ag 2.72-2.85
Ag  0.2826  0.2174  0.2174  4 Al 2.72, 6 Ag 2.89-3.03
Ag  0.6561  0.3439  0.3439  4 Al 2.85, 5 Ag 2.93-3.03
Ag  0.0000  0.3439  0.6561  4 Al 2.85, 5 Ag 2.93-3.03
Ag  0.5000  0.7826  0.2174  4 Al 2.72, 6 Ag 2.89-3.03
Ag  0.3439  0.6561  0.6561  4 Al 2.85, 5 Ag 2.93-3.03
Ag  0.0000  0.6561  0.3439  4 Al 2.85, 5 Ag 2.93-3.03
Ag  0.5000  0.2174  0.7826  4 Al 2.72, 6 Ag 2.89-3.03
Ag  0.7174  0.7826  0.7826  4 Al 2.72, 6 Ag 2.89-3.03

[4]
VASP calculation (PBE) on crystalline Mg2Zn2Pd at its relaxed geometry.

Properties
Mass density = 5.409 g cm⁻³
Space-group type = P4/mbm (127)
Energy of formation = -23 kJ/mol of atoms
Distance to the lowest polymorph of the same formula = 0.544 eV per formula unit

Unit cell a=6.6710 b=6.6710 c=3.9441 alpha=90.00 beta=90.00 gamma=90.00
Last column: nearest neighbours and their distance in Å.
Fractional positions:
Mg  0.6743  0.8257  0.5000  6 Zn 2.69-2.85
Mg  0.1743  0.6743  0.5000  6 Zn 2.69-2.85
Mg  0.3257  0.1743  0.5000  6 Zn 2.69-2.85
Mg  0.8257  0.3257  0.5000  6 Zn 2.69-2.85
Pd  0.0000  0.0000  0.0000  4 Zn 2.61
Pd  0.5000  0.5000  0.0000  4 Zn 2.61
Zn  0.8685  0.6315  0.0000  1 Zn 2.48, 2 Pd 2.61, 2 Mg 2.69
Zn  0.3685  0.8685  0.0000  1 Zn 2.48, 2 Pd 2.61, 2 Mg 2.69
Zn  0.1315  0.3685  0.0000  1 Zn 2.48, 2 Pd 2.61, 2 Mg 2.69
Zn  0.6315  0.1315  0.0000  1 Zn 2.48, 2 Pd 2.61, 2 Mg 2.69

[5]
VASP calculation (PBE) on crystalline K2SrCl4 at its relaxed geometry.

Properties
Mass density = 2.340 g cm⁻³
Space-group type = R-3m (166)
Energy relative to the elements, uncorrected = -204.9 kJ per mole of atoms
Distance to the lowest polymorph of the same formula = 0.485 eV per formula unit

Unit cell a=9.4541 b=9.4541 c=9.4541 alpha=32.61 beta=32.61 gamma=32.61
Last column: nearest neighbours and their distance in Å.
Fractional positions:
Cl  0.1102  0.1102  0.1102  1 Sr 2.96, 4 K 3.07-3.19
Cl  0.3606  0.3606  0.3606  3 Sr 3.15, 3 Cl 3.40
Cl  0.8898  0.8898  0.8898  1 Sr 2.96, 4 K 3.07-3.19
Cl  0.6394  0.6394  0.6394  3 Sr 3.15, 3 Cl 3.40
Sr  0.0000  0.0000  0.0000  8 Cl 2.96-3.15
K  0.2290  0.2290  0.2290  4 Cl 3.07-3.19
K  0.7710  0.7710  0.7710  4 Cl 3.07-3.19

[6]
VASP calculation (PBE) on crystalline Cd2SeO6 at its relaxed geometry.

Properties
Mass density = 5.584 g cm⁻³
Space-group type = P4_2/mnm (136)
Energy relative to the elements, uncorrected = -49.9 kJ per mole of atoms

Unit cell a=4.9404 b=4.9404 c=9.7420 alpha=90.00 beta=90.00 gamma=90.00
Last column: nearest neighbours and their distance in Å.
Fractional positions:
Se  0.5000  0.5000  0.0000  6 O 1.81-1.82
Se  0.0000  0.0000  0.5000  6 O 1.81-1.82
Cd  0.0000  0.0000  0.8338  6 O 2.28-2.33
Cd  0.5000  0.5000  0.6662  6 O 2.28-2.33
Cd  0.0000  0.0000  0.1662  6 O 2.28-2.33
Cd  0.5000  0.5000  0.3338  6 O 2.28-2.33
O  0.1766  0.8234  0.3644  1 Se 1.81
O  0.7400  0.7400  0.5000  1 Se 1.82
O  0.6766  0.6766  0.1356  1 Se 1.81
O  0.2600  0.2600  0.5000  1 Se 1.82
O  0.8234  0.1766  0.6356  1 Se 1.81
O  0.3234  0.3234  0.8644  1 Se 1.81
O  0.6766  0.6766  0.8644  1 Se 1.81
O  0.3234  0.3234  0.1356  1 Se 1.81
O  0.2400  0.7600  0.0000  1 Se 1.82
O  0.8234  0.1766  0.3644  1 Se 1.81
O  0.7600  0.2400  0.0000  1 Se 1.82
O  0.1766  0.8234  0.6356  1 Se 1.81

[7]
VASP calculation (PBE) on crystalline Ni2TeBr at its relaxed geometry.

Properties
Mass density = 7.134 g cm⁻³
Space-group type = Pm (6)
Energy relative to the elements, uncorrected = 4.8 kJ per mole of atoms
Distance to the lowest polymorph of the same formula = 0.547 eV per formula unit

Unit cell a=4.4435 b=4.1835 c=4.1898 alpha=76.15 beta=90.00 gamma=90.00
Last column: nearest neighbours and their distance in Å.
Fractional positions:
Ni  0.5000  0.2271  0.2250  3 Br 2.53-2.70, 2 Te 2.53, 2 Ni 2.60
Ni  0.0000  0.0208  0.0211  2 Br 2.51, 3 Te 2.57-2.68, 2 Ni 2.60
Br  0.5000  0.8418  0.8427  5 Ni 2.51-2.70
Te  0.0000  0.4103  0.4112  5 Ni 2.53-2.68

[8]
VASP calculation (PBE) on crystalline Mg2Cd9Hg at its relaxed geometry.

Properties
Mass density = 7.526 g cm⁻³
Space-group type = P6/mmm (191)
Energy of formation = 3 kJ/mol of atoms
Distance to the lowest polymorph of the same formula = 0.639 eV per formula unit

Unit cell a=3.0411 b=10.2783 c=10.2783 alpha=120.00 beta=90.00 gamma=90.00
Last column: nearest neighbours and their distance in Å.
Fractional positions:
Mg  0.0000  0.3333  0.6667  9 Cd 2.97-3.21, 2 Mg 3.04
Mg  0.0000  0.6667  0.3333  9 Cd 2.97-3.21, 2 Mg 3.04
Hg  0.0000  0.0000  0.0000  2 Hg 3.04
Cd  0.5000  0.6504  0.8252  8 Cd 3.04-3.27, 2 Mg 3.21
Cd  0.5000  0.8252  0.1748  8 Cd 3.04-3.27, 2 Mg 3.21
Cd  0.5000  0.1748  0.3497  8 Cd 3.04-3.27, 2 Mg 3.21
Cd  0.5000  0.1748  0.8252  8 Cd 3.04-3.27, 2 Mg 3.21
Cd  0.0000  0.5000  0.0000  2 Mg 2.97, 10 Cd 3.04-3.27
Cd  0.5000  0.8252  0.6503  8 Cd 3.04-3.27, 2 Mg 3.21
Cd  0.0000  0.0000  0.5000  2 Mg 2.97, 10 Cd 3.04-3.27
Cd  0.0000  0.5000  0.5000  2 Mg 2.97, 10 Cd 3.04-3.27
Cd  0.5000  0.3496  0.1748  8 Cd 3.04-3.27, 2 Mg 3.21

[9]
VASP calculation (PBE) on crystalline La3FeAs at its relaxed geometry.

Properties
Mass density = 6.588 g cm⁻³
Space-group type = Pm-3m (221)
Energy of formation = -38 kJ/mol of atoms

Unit cell a=5.1675 b=5.1675 c=5.1675 alpha=90.00 beta=90.00 gamma=90.00
Last column: nearest neighbours and their distance in Å.
Fractional positions:
La  0.5000  0.0000  0.0000  2 Fe 2.58
La  0.0000  0.5000  0.0000  2 Fe 2.58
La  0.0000  0.0000  0.5000  2 Fe 2.58
As  0.5000  0.5000  0.5000  12 La 3.65
Fe  0.0000  0.0000  0.0000  6 La 2.58

[10]
VASP calculation (PBE) on crystalline BaTaNb2Se at its relaxed geometry.

Properties
Mass density = 6.108 g cm⁻³
Space-group type = P4/mmm (123)
Energy relative to the elements, uncorrected = 101.7 kJ per mole of atoms

Unit cell a=4.8714 b=6.6796 c=4.8714 alpha=90.00 beta=90.00 gamma=90.00
Last column: nearest neighbours and their distance in Å.
Fractional positions:
Nb  0.5000  0.0000  0.0000  2 Ta 2.44
Nb  0.0000  0.0000  0.5000  2 Ta 2.44
Se  0.5000  0.5000  0.5000  4 Ba 3.44
Ta  0.0000  0.0000  0.0000  4 Nb 2.44
Ba  0.0000  0.5000  0.0000  2 Ta 3.34, 4 Se 3.44

[11]
VASP calculation (PBE) on crystalline Sr2TcIr at its relaxed geometry.

Properties
Mass density = 8.133 g cm⁻³
Space-group type = Immm (71)
Energy of formation = 73 kJ/mol of atoms
Distance to the lowest polymorph of the same formula = 2.401 eV per formula unit

Unit cell a=5.5437 b=5.5437 c=5.5437 alpha=131.04 beta=130.88 gamma=71.88
Last column: nearest neighbours and their distance in Å.
Fractional positions:
Sr  0.4997  0.4997  0.0000  4 Ir 3.21-3.22, 4 Tc 3.21, 4 Sr 3.25
Sr  0.0003  0.0003  0.0000  4 Ir 3.21-3.22, 4 Tc 3.21, 4 Sr 3.25
Tc  0.7500  0.2500  0.5000  8 Sr 3.21, 4 Ir 3.25
Ir  0.2500  0.7500  0.5000  8 Sr 3.21-3.22, 4 Tc 3.25